PBE BaYAl3, relaxed; space group = Pm-3m, No. 221; DFT formation energy = 2.0 eV/f.u.; volume = 174.66 Å³/cell; total magnetic moment = 0.51 μB/cell
1.0
-1.365 -2.145 -4.978
4.846 -2.784 -0.130
-2.429 -4.347 2.539
Y Al Ba
1 3 1
Cartesian
0.000 0.000 0.000
-1.215 -2.174 1.269
-0.683 -1.072 -2.489
2.423 -1.392 -0.065
0.526 -4.638 -1.285